Here is an optimized crystal structure of Pm2Ni2B from Alexandria. Energies are from PBE.

Cell lengths 5.1691, 5.1691, 7.2814 Å; angles 97.44, 97.44, 66.00 degrees
Last column: nearest neighbours and their distance in Å.
Positions (direct):
1 Pm 0.0614 0.2655 0.1626  6 Ni 2.81-3.15, 2 B 2.90-3.06
2 Pm 0.2655 0.0614 0.6626  6 Ni 2.81-3.15, 2 B 2.90-3.06
3 Pm 0.7345 0.9386 0.3374  6 Ni 2.81-3.15, 2 B 2.90-3.06
4 Pm 0.9386 0.7345 0.8374  6 Ni 2.81-3.15, 2 B 2.90-3.06
5 Ni 0.2658 0.5159 0.4875  2 B 2.13-2.25, 1 Ni 2.34
6 Ni 0.4841 0.7342 0.0125  2 B 2.13-2.25, 1 Ni 2.34
7 Ni 0.5159 0.2658 0.9875  2 B 2.13-2.25, 1 Ni 2.34
8 Ni 0.7342 0.4841 0.5125  2 B 2.13-2.25, 1 Ni 2.34
9 B 0.4398 0.5602 0.2500  4 Ni 2.13-2.25
10 B 0.5602 0.4398 0.7500  4 Ni 2.13-2.25

Calculated values
* space group: C2/c
* E_tot: -0.21004 Ha/atom
* magnetization: 0.00 μB per cell
* energy of formation from the pure elements: -167 meV/atom
* density of states at the Fermi level: 6.86 states/eV/cell


Here is an optimized crystal structure of PmNi4B4 from Alexandria. Energies are from PBE.

Cell lengths 7.2043, 7.2043, 3.7470 Å; angles 90.00, 90.00, 90.00 degrees
Last column: nearest neighbours and their distance in Å.
Positions (direct):
1 Pm 0.2500 0.2500 0.2500  8 B 2.84-2.86, 8 Ni 3.05-3.07
2 Pm 0.7500 0.7500 0.7500  8 B 2.84-2.86, 8 Ni 3.05-3.07
3 Ni 0.1039 0.6465 0.1509  4 B 2.01-2.05
4 Ni 0.1465 0.8961 0.6509  4 B 2.01-2.05
5 Ni 0.3535 0.6039 0.6509  4 B 2.01-2.05
6 Ni 0.3961 0.8535 0.1509  4 B 2.01-2.05
7 Ni 0.6039 0.1465 0.8491  4 B 2.01-2.05
8 Ni 0.6465 0.3961 0.3491  4 B 2.01-2.05
9 Ni 0.8535 0.1039 0.3491  4 B 2.01-2.05
10 Ni 0.8961 0.3535 0.8491  4 B 2.01-2.05
11 B 0.0424 0.9184 0.1511  1 B 1.74
12 B 0.0816 0.5424 0.6511  1 B 1.74
13 B 0.4184 0.9576 0.6511  1 B 1.74
14 B 0.4576 0.5816 0.1511  1 B 1.74
15 B 0.5424 0.4184 0.8489  1 B 1.74
16 B 0.5816 0.0424 0.3489  1 B 1.74
17 B 0.9184 0.4576 0.3489  1 B 1.74
18 B 0.9576 0.0816 0.8489  1 B 1.74

Calculated values
* space group: P4_2/n
* polymorph energy (0 for the lowest one): 0 meV per atom
* E_tot: -0.23762 Ha/atom
* magnetization: 0.00 μB per cell
* energy of formation from the pure elements: -401 meV/atom
* density of states at the Fermi level: 8.17 states/eV/cell


Here is an optimized crystal structure of PmNiB2 from Alexandria. Energies are from PBE.

Cell lengths 5.5749, 5.5749, 5.3549 Å; angles 90.00, 90.00, 141.73 degrees
Last column: nearest neighbours and their distance in Å.
Positions (direct):
1 Pm 0.0667 0.9333 0.7500  6 B 2.81-2.88, 5 Ni 2.89-3.13, 2 Pm 3.02
2 Pm 0.9333 0.0667 0.2500  6 B 2.81-2.88, 5 Ni 2.89-3.13, 2 Pm 3.02
3 Ni 0.2201 0.7799 0.2500  6 B 2.08-2.15
4 Ni 0.7799 0.2201 0.7500  6 B 2.08-2.15
5 B 0.3278 0.6722 0.5905  1 B 1.71
6 B 0.3278 0.6722 0.9095  1 B 1.71
7 B 0.6722 0.3278 0.0905  1 B 1.71
8 B 0.6722 0.3278 0.4095  1 B 1.71

Calculated values
* space group: Cmcm
* E_tot: -0.22762 Ha/atom
* magnetization: 0.00 μB per cell
* energy of formation from the pure elements: -222 meV/atom
* density of states at the Fermi level: 3.43 states/eV/cell


Here is an optimized crystal structure of PmNi7B5 from Alexandria. Energies are from PBE.

Cell lengths 5.8218, 5.8218, 5.8218 Å; angles 134.81, 96.86, 100.13 degrees
Last column: nearest neighbours and their distance in Å.
Positions (direct):
1 Pm 0.0000 0.0000 0.0000  10 Ni 2.55-2.80
2 Ni 0.1595 0.4467 0.7128  5 B 2.11-2.33, 1 Ni 2.35
3 Ni 0.2255 0.7255 0.5000  4 B 2.14, 2 Ni 2.40
4 Ni 0.3413 0.3413 0.0000  5 Ni 2.31-2.40, 4 B 2.51, 1 Pm 2.55
5 Ni 0.3744 0.0269 0.3475  3 B 2.08-2.17
6 Ni 0.6499 0.6499 0.0000  6 B 2.20-2.37, 1 Ni 2.31
7 Ni 0.6794 0.0269 0.6525  3 B 2.08-2.17
8 Ni 0.7338 0.4467 0.2872  5 B 2.11-2.33, 1 Ni 2.35
9 B 0.4851 0.5347 0.5546  1 B 1.77
10 B 0.4851 0.9305 0.9504  1 B 1.77
11 B 0.7563 0.2563 0.5000  4 Ni 2.08-2.17
12 B 0.9801 0.5347 0.0496  1 B 1.77
13 B 0.9801 0.9305 0.4454  1 B 1.77

Calculated values
* space group: Imm2
* E_tot: -0.22449 Ha/atom
* magnetization: 0.00 μB per cell
* energy of formation from the pure elements: -62 meV/atom
* density of states at the Fermi level: 7.12 states/eV/cell